[1]
YAsIrO after structural relaxation. Source: OQMD via LeMat-Bulk, functional PBE.

Results
* V: 134 Å³/cell
* calculated total energy: -7.496 eV per atom
* energy above the lowest structure with this stoichiometry: 546.6 meV/atom

Cell and atoms, written as POSCAR:
```
YAsIrO
1.0
-2.128 -3.802 -1.076
1.014 0.562 -3.989
6.082 -3.693 1.026
As Ir O Y
2 2 2 2
Direct
0.000 0.266 0.272
0.000 0.734 0.772
0.000 0.769 0.438
0.000 0.231 0.938
0.500 0.760 0.439
0.500 0.240 0.939
0.500 0.742 0.105
0.500 0.258 0.605
```



[2]
SmO2 after structural relaxation. Source: OQMD via LeMat-Bulk, functional PBE.

Results
* V: 71 Å³/cell
* calculated total energy: -5.561 eV per atom

Cell and atoms, written as POSCAR:
```
SmO2
1.0
0.000 3.289 3.289
3.289 0.000 3.289
3.289 3.289 0.000
O Sm
4 2
Direct
0.625 0.625 0.125
0.625 0.125 0.625
0.125 0.625 0.625
0.625 0.625 0.625
0.000 0.000 0.000
0.250 0.250 0.250
```



[3]
Gd3Al2GaGe2Pt after structural relaxation. Source: OQMD via LeMat-Bulk, functional PBE.

Results
* V: 183 Å³/cell
* calculated total energy: -5.300 eV per atom

Cell and atoms, written as POSCAR:
```
Gd3Al2GaGe2Pt
1.0
-3.996 1.299 -0.706
-1.690 -1.602 6.618
2.353 6.448 -1.451
Al Ga Gd Ge Pt
2 1 3 2 1
Direct
0.000 0.231 0.001
0.000 0.001 0.231
0.000 0.765 0.765
0.500 0.416 0.416
0.500 0.996 0.586
0.500 0.586 0.996
0.000 0.666 0.326
0.000 0.326 0.666
0.500 0.012 0.012
```



[4]
BeCdIr2 after structural relaxation. Source: OQMD via LeMat-Bulk, functional PBE.

Results
* V: 59 Å³/cell
* calculated total energy: -5.249 eV per atom

Cell and atoms, written as POSCAR:
```
BeCdIr2
1.0
0.000 3.091 3.091
3.091 0.000 3.091
3.091 3.091 0.000
Be Cd Ir
1 1 2
Direct
0.500 0.500 0.500
0.250 0.250 0.250
0.000 0.000 0.000
0.750 0.750 0.750
```



[5]
Er2GeO5 after structural relaxation. Source: OQMD via LeMat-Bulk, functional PBE.

Results
* V: 438 Å³/cell
* calculated total energy: -7.765 eV per atom
* energy above the lowest structure with this stoichiometry: 0.0 meV/atom

Cell and atoms, written as POSCAR:
```
Er2GeO5
1.0
0.000 6.763 0.000
-3.883 -3.381 -6.286
-6.427 3.381 6.261
Er Ge O
8 4 20
Direct
0.792 0.106 0.037
0.267 0.437 0.163
0.993 0.063 0.337
0.723 0.394 0.463
0.277 0.606 0.537
0.007 0.937 0.663
0.733 0.563 0.837
0.208 0.894 0.963
0.779 0.561 0.190
0.408 0.939 0.310
0.592 0.061 0.690
0.221 0.439 0.810
0.629 0.456 0.049
0.115 0.136 0.101
0.418 0.969 0.134
0.959 0.785 0.175
0.917 0.409 0.178
0.685 0.091 0.322
0.349 0.715 0.325
0.583 0.531 0.366
0.081 0.364 0.399
0.222 0.044 0.451
0.778 0.956 0.549
0.919 0.636 0.601
0.417 0.469 0.634
0.651 0.285 0.675
0.315 0.909 0.678
0.083 0.591 0.822
0.041 0.215 0.825
0.582 0.031 0.866
0.885 0.864 0.899
0.371 0.544 0.951
```



[6]
SiBIr after structural relaxation. Source: OQMD via LeMat-Bulk, functional PBE.

Results
* V: 36 Å³/cell
* calculated total energy: -6.809 eV per atom
* energy above the lowest structure with this stoichiometry: 0.0 meV/atom

Cell and atoms, written as POSCAR:
```
SiBIr
1.0
-1.256 -1.706 3.033
-3.226 1.022 1.496
-2.934 -2.243 -0.220
B Ir Si
1 1 1
Direct
0.000 0.000 0.000
0.250 0.250 0.250
0.750 0.750 0.750
```



[7]
LiMgZnPb after structural relaxation. Source: OQMD via LeMat-Bulk, functional PBE.

Results
* V: 82 Å³/cell
* calculated total energy: -2.162 eV per atom
* energy above the lowest structure with this stoichiometry: 53.8 meV/atom

Cell and atoms, written as POSCAR:
```
LiMgZnPb
1.0
-2.455 -4.109 -0.961
-4.015 -1.098 2.552
-4.386 0.219 -2.134
Li Mg Pb Zn
1 1 1 1
Direct
0.750 0.750 0.750
0.500 0.500 0.500
0.000 0.000 0.000
0.250 0.250 0.250
```



[8]
MgPd after structural relaxation. Source: OQMD via LeMat-Bulk, functional PBE.

Results
* V: 200 Å³/cell
* calculated total energy: -3.842 eV per atom

Cell and atoms, written as POSCAR:
```
MgPd
1.0
7.210 -1.454 0.000
0.008 5.859 0.000
0.000 0.000 4.733
Mg Pd
6 6
Direct
0.985 0.502 0.000
0.376 0.841 0.000
0.978 0.990 0.000
0.244 0.065 0.500
0.846 0.215 0.500
0.237 0.553 0.500
0.667 0.179 0.000
0.308 0.327 0.000
0.671 0.658 0.000
0.551 0.398 0.500
0.914 0.729 0.500
0.555 0.877 0.500
```



[9]
Rb2Mo9S11 after structural relaxation. Source: OQMD via LeMat-Bulk, functional PBE.

Results
* V: 928 Å³/cell
* calculated total energy: -7.373 eV per atom

Cell and atoms, written as POSCAR:
```
Rb2Mo9S11
1.0
4.715 2.722 12.053
-4.715 2.722 12.053
0.000 -5.444 12.053
Mo Rb S
18 4 22
Direct
0.177 0.355 0.029
0.417 0.250 0.083
0.323 0.471 0.145
0.355 0.029 0.177
0.083 0.417 0.250
0.471 0.145 0.323
0.029 0.177 0.355
0.250 0.083 0.417
0.145 0.323 0.471
0.855 0.677 0.529
0.750 0.917 0.583
0.971 0.823 0.645
0.529 0.855 0.677
0.917 0.583 0.750
0.645 0.971 0.823
0.677 0.529 0.855
0.583 0.750 0.917
0.823 0.645 0.971
0.051 0.051 0.051
0.449 0.449 0.449
0.551 0.551 0.551
0.949 0.949 0.949
0.619 0.288 0.017
0.750 0.448 0.052
0.517 0.788 0.119
0.136 0.136 0.136
0.881 0.483 0.212
0.552 0.948 0.250
0.017 0.619 0.288
0.364 0.364 0.364
0.712 0.983 0.381
0.052 0.750 0.448
0.212 0.881 0.483
0.788 0.119 0.517
0.948 0.250 0.552
0.288 0.017 0.619
0.636 0.636 0.636
0.983 0.381 0.712
0.448 0.052 0.750
0.119 0.517 0.788
0.864 0.864 0.864
0.483 0.212 0.881
0.250 0.552 0.948
0.381 0.712 0.983
```



[10]
KAgSe after structural relaxation. Source: OQMD via LeMat-Bulk, functional PBE.

Results
* V: 160 Å³/cell
* calculated total energy: -3.144 eV per atom

Cell and atoms, written as POSCAR:
```
KAgSe
1.0
4.546 0.000 0.000
0.000 4.546 0.000
0.000 0.000 7.733
Ag K Se
2 2 2
Direct
0.000 0.000 0.000
0.500 0.500 0.000
0.500 0.000 0.340
0.000 0.500 0.660
0.000 0.500 0.217
0.500 0.000 0.783
```



[11]
Ta5Al after structural relaxation. Source: OQMD via LeMat-Bulk, functional PBE.

Results
* V: 217 Å³/cell
* calculated total energy: -10.450 eV per atom
* energy above the lowest structure with this stoichiometry: 0.0 meV/atom

Cell and atoms, written as POSCAR:
```
Ta5Al
1.0
-0.138 -4.647 -2.579
4.646 1.983 1.659
-0.942 -4.265 7.734
Al Ta
2 10
Direct
0.000 0.000 0.000
0.000 0.000 0.500
0.333 0.667 0.061
0.339 0.170 0.250
0.830 0.170 0.250
0.830 0.661 0.250
0.333 0.667 0.439
0.667 0.333 0.561
0.170 0.339 0.750
0.170 0.830 0.750
0.661 0.830 0.750
0.667 0.333 0.939
```



[12]
MgTaSbW after structural relaxation. Source: OQMD via LeMat-Bulk, functional PBE.

Results
* V: 73 Å³/cell
* calculated total energy: -6.947 eV per atom
* energy above the lowest structure with this stoichiometry: 348.3 meV/atom

Cell and atoms, written as POSCAR:
```
MgTaSbW
1.0
0.000 3.318 3.318
3.318 0.000 3.318
3.318 3.318 0.000
Mg Sb Ta W
1 1 1 1
Direct
0.750 0.750 0.750
0.250 0.250 0.250
0.500 0.500 0.500
0.000 0.000 0.000
```